a:
Compound: CaLa6Pm2
Source: Alexandria via LeMat-Bulk
Functional: PBE
Structure: relaxed

Properties
* ρ: 5777 kg/m3

Cell: 10.5041 10.5041 3.6327 Å, 99.05 99.05 58.02°
Closest atoms and distances in Å follow each position.
Positions (direct):
Ca 0.0000 0.0000 0.0000  2 Ca 3.63, 12 La 3.86-4.05
La 0.0132 0.6475 0.3460  6 La 3.45-3.74, 3 Pm 3.66-3.73
La 0.3368 0.6634 0.4873  5 La 3.33-3.63
La 0.3529 0.9862 0.6705  6 La 3.44-3.74, 3 Pm 3.64-3.78
La 0.6475 0.0132 0.3460  6 La 3.45-3.74, 3 Pm 3.66-3.73
La 0.6634 0.3368 0.4873  5 La 3.33-3.63
La 0.9862 0.3529 0.6705  6 La 3.44-3.74, 3 Pm 3.64-3.78
Pm 0.3442 0.3442 0.8506  2 Pm 3.63, 10 La 3.67-3.75
Pm 0.6563 0.6563 0.1182  2 Pm 3.63, 10 La 3.64-3.78

---

b:
Compound: CaLa6Pm2
Source: Alexandria via LeMat-Bulk
Functional: PBE
Structure: relaxed

Properties
* ρ: 5825 kg/m3

Cell: 12.4227 12.4227 5.9553 Å, 103.81 103.81 48.41°
Closest atoms and distances in Å follow each position.
Positions (direct):
Ca 0.2455 0.7545 0.7500  14 La 3.76-4.08
Ca 0.7545 0.2455 0.2500  14 La 3.76-4.08
La 0.0053 0.8236 0.1810  5 La 3.43-3.79, 1 Pm 3.64, 1 Ca 3.78
La 0.0745 0.5814 0.5784  2 La 3.41-3.79, 1 Ca 3.76, 4 Pm 3.77-3.80
La 0.1764 0.9947 0.3190  5 La 3.43-3.79, 1 Pm 3.64, 1 Ca 3.78
La 0.3419 0.4892 0.1391  4 La 3.33-3.71, 1 Pm 3.59
La 0.4186 0.9255 0.9216  2 La 3.41-3.79, 1 Ca 3.76, 4 Pm 3.77-3.80
La 0.4892 0.3419 0.6391  4 La 3.33-3.71, 1 Pm 3.59
La 0.5108 0.6581 0.3609  4 La 3.33-3.71, 1 Pm 3.59
La 0.5814 0.0745 0.0784  2 La 3.41-3.79, 1 Ca 3.76, 4 Pm 3.77-3.80
La 0.6581 0.5108 0.8609  4 La 3.33-3.71, 1 Pm 3.59
La 0.8236 0.0053 0.6810  5 La 3.43-3.79, 1 Pm 3.64, 1 Ca 3.78
La 0.9255 0.4186 0.4216  2 La 3.41-3.79, 1 Ca 3.76, 4 Pm 3.77-3.80
La 0.9947 0.1764 0.8190  5 La 3.43-3.79, 1 Pm 3.64, 1 Ca 3.78
Pm 0.1696 0.3338 0.0132  3 Pm 3.42, 6 La 3.59-3.80
Pm 0.3338 0.1696 0.5132  3 Pm 3.42, 6 La 3.59-3.80
Pm 0.6662 0.8304 0.4868  3 Pm 3.42, 6 La 3.59-3.80
Pm 0.8304 0.6662 0.9868  3 Pm 3.42, 6 La 3.59-3.80

---

The relative energies come out as a 1.7; b 0.0, with values in kJ/mol of atoms.

---

a:
Compound: CaLaPm4
Source: Alexandria via LeMat-Bulk
Functional: PBE
Structure: relaxed

Properties
* ρ: 5869 kg/m3

Cell: 3.6794 5.2479 11.1223 Å, 90.00 90.00 90.00°
Closest atoms and distances in Å follow each position.
Positions (direct):
Ca 0.0000 0.0000 0.0000  2 Ca 3.68, 10 Pm 3.73-3.76
La 0.5000 0.5000 0.5000  10 Pm 3.60-3.69, 2 La 3.68
Pm 0.0000 0.0000 0.3353  7 Pm 3.66-3.68, 4 La 3.69, 1 Ca 3.73
Pm 0.0000 0.0000 0.6647  7 Pm 3.66-3.68, 4 La 3.69, 1 Ca 3.73
Pm 0.5000 0.5000 0.1764  1 La 3.60, 7 Pm 3.66-3.92, 4 Ca 3.76
Pm 0.5000 0.5000 0.8236  1 La 3.60, 7 Pm 3.66-3.92, 4 Ca 3.76

---

b:
Compound: CaLaPm4
Source: Alexandria via LeMat-Bulk
Functional: PBE
Structure: relaxed

Properties
* ρ: 5576 kg/m3

Cell: 6.8376 6.8376 6.8376 Å, 60.00 60.00 60.00°
Closest atoms and distances in Å follow each position.
Positions (direct):
Ca 0.0000 0.0000 0.0000  12 Pm 4.01, 4 La 4.19
La 0.2500 0.2500 0.2500  12 Pm 4.01, 4 Ca 4.19
Pm 0.1279 0.6240 0.6240  6 Pm 3.39-3.44
Pm 0.6240 0.1279 0.6240  6 Pm 3.39-3.44
Pm 0.6240 0.6240 0.1279  6 Pm 3.39-3.44
Pm 0.6240 0.6240 0.6240  6 Pm 3.39-3.44

---

The relative energies come out as a 0.0; b 13.9, with values in kJ/mol of atoms.

---

a:
Compound: CaLaPmY
Source: Alexandria via LeMat-Bulk
Functional: PBE
Structure: relaxed

Properties
* ρ: 4716 kg/m3

Cell: 3.7037 3.7037 10.5972 Å, 90.00 90.00 90.00°
Closest atoms and distances in Å follow each position.
Positions (direct):
Ca 0.0000 0.0000 0.0000  4 Ca 3.70, 4 Y 3.78, 4 La 3.93
La 0.5000 0.5000 0.7240  4 Pm 3.64, 4 La 3.70, 4 Ca 3.93
Pm 0.0000 0.0000 0.4850  4 Y 3.56, 4 La 3.64, 4 Pm 3.70
Y 0.5000 0.5000 0.2572  4 Pm 3.56, 4 Y 3.70, 4 Ca 3.78

---

b:
Compound: CaLaPmY
Source: Alexandria via LeMat-Bulk
Functional: PBE
Structure: relaxed

Properties
* ρ: 4736 kg/m3

Cell: 5.8939 5.8939 5.8939 Å, 60.00 60.00 60.00°
Closest atoms and distances in Å follow each position.
Positions (direct):
Ca 0.0000 0.0000 0.0000  4 Y 3.61, 4 La 3.61
La 0.2500 0.2500 0.2500  4 Ca 3.61, 4 Pm 3.61
Pm 0.5000 0.5000 0.5000  4 Y 3.61, 4 La 3.61
Y 0.7500 0.7500 0.7500  4 Ca 3.61, 4 Pm 3.61

---

The relative energies come out as a 0.0; b 8.0, with values in kJ/mol of atoms.

---

a:
Compound: Ca2LaPr
Source: Alexandria via LeMat-Bulk
Functional: PBE
Structure: relaxed

Properties
* ρ: 3844 kg/m3

Cell: 4.2702 4.2702 8.5284 Å, 90.00 90.00 90.00°
Closest atoms and distances in Å follow each position.
Positions (direct):
Ca 0.0000 0.0000 0.2459  4 Pr 3.68, 4 La 3.72
Ca 0.0000 0.0000 0.7541  4 Pr 3.68, 4 La 3.72
La 0.5000 0.5000 0.5000  8 Ca 3.72
Pr 0.5000 0.5000 0.0000  8 Ca 3.68

---

b:
Compound: Ca2LaPr
Source: Alexandria via LeMat-Bulk
Functional: PBE
Structure: relaxed

Properties
* ρ: 3809 kg/m3

Cell: 3.7941 3.7941 10.9017 Å, 90.00 90.00 90.00°
Closest atoms and distances in Å follow each position.
Positions (direct):
Ca 0.0000 0.0000 0.0000  8 Ca 3.79-3.93, 4 Pr 3.84
Ca 0.5000 0.5000 0.2639  8 Ca 3.79-3.93, 4 La 3.90
La 0.0000 0.0000 0.5235  4 Pr 3.63, 4 La 3.79, 4 Ca 3.90
Pr 0.5000 0.5000 0.7479  4 La 3.63, 4 Pr 3.79, 4 Ca 3.84

---

The relative energies come out as a 7.9; b 0.0, with values in kJ/mol of atoms.